A relaxed Tm3HgIr crystal, computed with PBE-GGA.

Summary:
ρ in g/cm³: 11.53
Fermi-level density of states in states/eV/f.u.: 3.97
Formation energy in meV per atom: -601

a = 4.5338 Å, b = 6.7766 Å, c = 8.4305 Å
α = 90.00°, β = 90.00°, γ = 90.00°
Fractional positions:
Tm 0.2500 0.0016 0.1549
Tm 0.2500 0.4984 0.1549
Tm 0.2500 0.7500 0.5630
Tm 0.7500 0.2500 0.4370
Tm 0.7500 0.5016 0.8451
Tm 0.7500 0.9984 0.8451
Hg 0.2500 0.2500 0.6739
Hg 0.7500 0.7500 0.3261
Ir 0.2500 0.7500 0.8879
Ir 0.7500 0.2500 0.1121